1.
First-principles (SCAN) data for a crystal of ScTc2Se relaxed with PBEsol, as listed in the Alexandria database.

Computed properties:
Energy (eV per atom): -26.10
ΔE_f (raw) (eV per atom): 0.004

Cell: 3.7274 3.7274 8.6734 Å, 90.00 90.00 90.00°
Space group I-4m2 (No. 119)
Unique sites:
Sc1 0.0000 0.0000 0.0000 (multiplicity 2)
Tc1 0.0000 0.0000 0.5000 (multiplicity 2)
Tc2 0.0000 0.5000 0.7500 (multiplicity 2)
Se1 0.0000 0.5000 0.2500 (multiplicity 2)



2.
First-principles (SCAN) data for a crystal of LiScCu3 relaxed with PBEsol, as listed in the Alexandria database.

Computed properties:
Energy (eV per atom): -11.48

Cell: 4.7866 4.7866 4.7866 Å, 90.00 90.00 90.00°
Space group Pm-3m (No. 221)
Unique sites:
Li1 0.0000 0.0000 0.0000 (multiplicity 1)
Sc1 0.5000 0.5000 0.5000 (multiplicity 1)
Cu1 0.0000 0.5000 0.5000 (multiplicity 3)



3.
First-principles (SCAN) data for a crystal of Zr3V4Fe2 relaxed with PBEsol, as listed in the Alexandria database.

Computed properties:
Energy (eV per atom): -22.15

Cell: 4.9640 5.0429 12.3837 Å, 89.07 88.29 60.89°
Space group P-1 (No. 2)
Unique sites:
Zr1 0.0095 0.4922 0.1206 (multiplicity 2)
Zr2 0.3319 0.8327 0.5431 (multiplicity 2)
Zr3 0.3322 0.8408 0.7950 (multiplicity 2)
V1 0.0000 0.0000 0.0000 (multiplicity 1)
V2 0.0000 0.5000 0.5000 (multiplicity 1)
V3 0.1695 0.1593 0.3309 (multiplicity 2)
V4 0.3310 0.3374 0.6687 (multiplicity 2)
V5 0.3411 0.8216 0.1609 (multiplicity 2)
Fe1 0.1683 0.6625 0.3309 (multiplicity 2)
Fe2 0.5000 0.0000 0.0000 (multiplicity 1)
Fe3 0.5000 0.5000 0.0000 (multiplicity 1)



4.
First-principles (SCAN) data for a crystal of SbMoBr2 relaxed with PBEsol, as listed in the Alexandria database.

Computed properties:
Excess energy over the best structure of this formula in the dataset (meV per atom): 0
Energy (eV per atom): -27.65
ΔE_f (raw) (eV per atom): 0.112

Cell: 3.4406 3.4406 8.9975 Å, 90.00 90.00 90.00°
Space group P4mm (No. 99)
Unique sites:
Sb1 0.0000 0.0000 0.0000 (multiplicity 1)
Mo1 0.5000 0.5000 0.1340 (multiplicity 1)
Br1 0.0000 0.0000 0.7204 (multiplicity 1)
Br2 0.5000 0.5000 0.3966 (multiplicity 1)



5.
First-principles (SCAN) data for a crystal of Zr3Ni relaxed with PBEsol, as listed in the Alexandria database.

Computed properties:
Energy (eV per atom): -27.31

Cell: 5.9673 9.1342 5.6588 Å, 90.00 90.00 90.00°
Space group Pnma (No. 62)
Unique sites:
Zr1 0.0390 0.2500 0.1626 (multiplicity 4)
Zr2 0.2082 0.0546 0.6272 (multiplicity 8)
Ni1 0.1076 0.7500 0.3858 (multiplicity 4)



6.
First-principles (SCAN) data for a crystal of ZrTc2Sb relaxed with PBEsol, as listed in the Alexandria database.

Computed properties:
Energy (eV per atom): -34.59
ΔE_f (raw) (eV per atom): -0.074

Cell: 3.0520 3.0520 7.5237 Å, 90.00 90.00 90.00°
Space group P4mm (No. 99)
Unique sites:
Zr1 0.0000 0.0000 0.0000 (multiplicity 1)
Tc1 0.0000 0.0000 0.5509 (multiplicity 1)
Tc2 0.5000 0.5000 0.7450 (multiplicity 1)
Sb1 0.5000 0.5000 0.3026 (multiplicity 1)



7.
First-principles (SCAN) data for a crystal of AsPRh4 relaxed with PBEsol, as listed in the Alexandria database.

Computed properties:
Energy (eV per atom): -28.35

Cell: 3.9371 3.9371 19.2990 Å, 90.00 90.00 120.00°
Space group R-3m (No. 166, hexagonal axes)
Unique sites:
As1 0.0000 0.0000 0.0000 (multiplicity 3)
P1 0.0000 0.0000 0.5000 (multiplicity 3)
Rh1 0.0000 0.0000 0.1278 (multiplicity 6)
Rh2 0.0000 0.0000 0.3782 (multiplicity 6)



8.
First-principles (SCAN) data for a crystal of InSi3Se relaxed with PBEsol, as listed in the Alexandria database.

Computed properties:
Energy (eV per atom): -15.56
ΔE_f (raw) (eV per atom): 1.143

Cell: 4.8823 4.8823 4.8823 Å, 90.00 90.00 90.00°
Space group Pm-3m (No. 221)
Unique sites:
In1 0.0000 0.0000 0.0000 (multiplicity 1)
Si1 0.0000 0.5000 0.5000 (multiplicity 3)
Se1 0.5000 0.5000 0.5000 (multiplicity 1)



9.
First-principles (SCAN) data for a crystal of Sb2AuO relaxed with PBEsol, as listed in the Alexandria database.

Computed properties:
Excess energy over the best structure of this formula in the dataset (meV per atom): 342
Energy (eV per atom): -37.39
ΔE_f (raw) (eV per atom): 0.086

Cell: 6.5655 6.5655 6.5655 Å, 90.00 90.00 90.00°
Space group Fm-3m (No. 225)
Unique sites:
Sb1 0.2500 0.2500 0.2500 (multiplicity 8)
Au1 0.0000 0.0000 0.0000 (multiplicity 4)
O1 0.0000 0.0000 0.5000 (multiplicity 4)



10.
First-principles (SCAN) data for a crystal of Mn2IrOs relaxed with PBEsol, as listed in the Alexandria database.

Computed properties:
Excess energy over the best structure of this formula in the dataset (meV per atom): 286
Energy (eV per atom): -44.94

Cell: 2.6298 2.6298 7.2024 Å, 90.00 90.00 90.00°
Space group P4mm (No. 99)
Unique sites:
Mn1 0.0000 0.0000 0.0000 (multiplicity 1)
Mn2 0.5000 0.5000 0.2311 (multiplicity 1)
Ir1 0.5000 0.5000 0.7509 (multiplicity 1)
Os1 0.0000 0.0000 0.4722 (multiplicity 1)



11.
First-principles (SCAN) data for a crystal of YSc2Ta relaxed with PBEsol, as listed in the Alexandria database.

Computed properties:
Excess energy over the best structure of this formula in the dataset (meV per atom): 0
Energy (eV per atom): -30.46

Cell: 3.1484 3.1484 31.7671 Å, 90.00 90.00 120.00°
Space group R-3m (No. 166, hexagonal axes)
Unique sites:
Y1 0.0000 0.0000 0.0000 (multiplicity 3)
Sc1 0.0000 0.0000 0.2413 (multiplicity 6)
Ta1 0.0000 0.0000 0.5000 (multiplicity 3)



12.
First-principles (SCAN) data for a crystal of SrYP3 relaxed with PBEsol, as listed in the Alexandria database.

Computed properties:
Energy (eV per atom): -15.66

Cell: 5.1035 5.1035 5.1035 Å, 90.00 90.00 90.00°
Space group Pm-3m (No. 221)
Unique sites:
Sr1 0.0000 0.0000 0.0000 (multiplicity 1)
Y1 0.5000 0.5000 0.5000 (multiplicity 1)
P1 0.0000 0.0000 0.5000 (multiplicity 3)